# 1
Below is crystalline Cs2SeS6 at its relaxed geometry, with properties calculated at the PBE level.

- VASP energy (eV/atom) = -3.723
- space group = P-1
- E_form (uncorrected) (eV/atom) = -0.394
- total moment (μB/f.u.) = 0.00

Cell lengths 5.795, 8.642, 8.733 Å; angles 118.99, 74.77, 74.71 degrees
Element x y z (fractional)
S1 0.222 0.665 0.462
S2 0.006 0.649 0.314
S3 0.012 0.710 0.719
S4 0.778 0.335 0.538
S5 0.988 0.290 0.281
S6 0.994 0.351 0.686
Cs1 0.526 0.142 0.821
Cs2 0.474 0.858 0.179
Se1 0.000 0.000 0.000

***

# 2
Below is crystalline ZnSiGe3 at its relaxed geometry, with properties calculated at the PBE level.

- distance to the lowest polymorph of the same formula (eV/atom) = 0.000
- VASP energy (eV/atom) = -3.420
- space group = Pm-3m
- E_form (uncorrected) (eV/atom) = 0.689
- total moment (μB/f.u.) = 0.00

Cell lengths 4.801, 4.801, 4.801 Å; angles 90.00, 90.00, 90.00 degrees
Element x y z (fractional)
Ge1 0.000 0.500 0.000
Ge2 0.500 0.000 0.000
Ge3 0.000 0.000 0.500
Zn1 0.500 0.500 0.500
Si1 0.000 0.000 0.000

***

# 3
Below is crystalline Nd3GdNi at its relaxed geometry, with properties calculated at the PBE level.

- VASP energy (eV/atom) = -6.809
- ΔH_f (0 K) (eV/atom) = 0.024
- space group = Pm-3m
- total moment (μB/f.u.) = 8.51

Cell lengths 5.487, 5.487, 5.487 Å; angles 90.00, 90.00, 90.00 degrees
Element x y z (fractional)
Nd1 0.000 0.000 0.500
Nd2 0.500 0.000 0.000
Nd3 0.000 0.500 0.000
Ni1 0.000 0.000 0.000
Gd1 0.500 0.500 0.500

***

# 4
Below is crystalline Ca2BeCuF at its relaxed geometry, with properties calculated at the PBE level.

- VASP energy (eV/atom) = -3.415
- space group = P4/mmm
- E_form (uncorrected) (eV/atom) = -0.675
- total moment (μB/f.u.) = 0.00

Cell lengths 4.924, 3.843, 4.924 Å; angles 90.00, 90.00, 90.00 degrees
Element x y z (fractional)
Ca1 0.500 0.000 0.000
Ca2 0.000 0.000 0.500
Be1 0.000 0.500 0.000
F1 0.000 0.000 0.000
Cu1 0.500 0.500 0.500

***

# 5
Below is crystalline MnNbBRu2 at its relaxed geometry, with properties calculated at the PBE level.

- VASP energy (eV/atom) = -9.086
- ΔH_f (0 K) (eV/atom) = -0.193
- space group = P4/mmm
- total moment (μB/f.u.) = 1.00

Cell lengths 4.069, 4.069, 3.947 Å; angles 90.00, 90.00, 90.00 degrees
Element x y z (fractional)
Mn1 0.000 0.000 0.500
Ru1 0.000 0.500 0.000
Ru2 0.500 0.000 0.000
Nb1 0.500 0.500 0.500
B1 0.000 0.000 0.000

***

# 6
Below is crystalline TcMo3W6 at its relaxed geometry, with properties calculated at the PBE level.

- VASP energy (eV/atom) = -12.059
- ΔH_f (0 K) (eV/atom) = -0.001
- space group = P2_1/m
- total moment (μB/f.u.) = 0.00

Cell lengths 4.486, 7.763, 9.490 Å; angles 105.69, 90.00, 90.00 degrees
Element x y z (fractional)
Mo1 0.250 0.750 0.999
Mo2 0.250 0.348 0.799
Mo3 0.750 0.652 0.201
Mo4 0.750 0.449 0.599
Mo5 0.750 0.250 0.001
Mo6 0.250 0.551 0.401
W1 0.250 0.149 0.203
W2 0.750 0.151 0.701
W3 0.250 0.050 0.900
W4 0.750 0.749 0.500
W5 0.750 0.550 0.900
W6 0.750 0.351 0.300
W7 0.250 0.251 0.500
W8 0.250 0.450 0.100
W9 0.750 0.950 0.100
W10 0.750 0.851 0.797
W11 0.250 0.649 0.700
W12 0.250 0.849 0.299
Tc1 0.750 0.049 0.403
Tc2 0.250 0.951 0.597

***

# 7
Below is crystalline Ge2WCBr at its relaxed geometry, with properties calculated at the PBE level.

- VASP energy (eV/atom) = -5.417
- space group = P4/mmm
- E_form (uncorrected) (eV/atom) = 1.200
- total moment (μB/f.u.) = 0.00

Cell lengths 4.767, 4.093, 4.767 Å; angles 90.00, 90.00, 90.00 degrees
Element x y z (fractional)
Ge1 0.000 0.000 0.500
Ge2 0.500 0.000 0.000
W1 0.000 0.500 0.000
C1 0.000 0.000 0.000
Br1 0.500 0.500 0.500

***

# 8
Below is crystalline MgCu2Br at its relaxed geometry, with properties calculated at the PBE level.

- distance to the lowest polymorph of the same formula (eV/atom) = 0.324
- VASP energy (eV/atom) = -2.681
- space group = R-3m
- E_form (uncorrected) (eV/atom) = 0.184
- total moment (μB/f.u.) = 0.00

Cell lengths 8.066, 8.066, 8.066 Å; angles 23.74, 23.74, 23.74 degrees
Element x y z (fractional)
Cu1 0.003 0.003 0.003
Cu2 0.497 0.497 0.497
Br1 0.750 0.750 0.750
Mg1 0.250 0.250 0.250

***

Copy entry 5 word for word.
Below is crystalline MnNbBRu2 at its relaxed geometry, with properties calculated at the PBE level.

- VASP energy (eV/atom) = -9.086
- ΔH_f (0 K) (eV/atom) = -0.193
- space group = P4/mmm
- total moment (μB/f.u.) = 1.00

Cell lengths 4.069, 4.069, 3.947 Å; angles 90.00, 90.00, 90.00 degrees
Element x y z (fractional)
Mn1 0.000 0.000 0.500
Ru1 0.000 0.500 0.000
Ru2 0.500 0.000 0.000
Nb1 0.500 0.500 0.500
B1 0.000 0.000 0.000